No. 1
Computed, not measured: an optimized crystal structure of CeDy2Te3 at the PBE-GGA level of DFT.

Output
Uncorrected formation energy: -1.307 eV/atom
E_tot: -5.401 eV per atom
M_tot: 1.4 μB/f.u.

Cell: 9.8413 9.8413 6.2151 Å, 90.00 90.00 143.16°
Element x y z (fractional)
Ce 0.1689 0.8311 0.0000
Ce 0.8311 0.1689 0.0000
Dy 0.0000 0.0000 0.5000
Dy 0.3308 0.6692 0.5000
Dy 0.5000 0.5000 0.0000
Dy 0.6692 0.3308 0.5000
Te 0.0000 0.0000 0.0000
Te 0.1654 0.8346 0.5000
Te 0.3371 0.6629 0.0000
Te 0.5000 0.5000 0.5000
Te 0.6629 0.3371 0.0000
Te 0.8346 0.1654 0.5000

No. 2
Computed, not measured: an optimized crystal structure of CeDyTe at the PBE-GGA level of DFT.

Output
Uncorrected formation energy: -0.357 eV/atom
E_tot: -4.916 eV per atom
Energy above the most stable polymorph in this dataset: 31.04 kJ/mol of atoms
M_tot: 1.8 μB/f.u.

Cell: 3.7971 15.4009 7.2974 Å, 90.00 90.00 90.00°
Element x y z (fractional)
Ce 0.0000 0.1110 0.0000
Ce 0.0000 0.8890 0.5000
Ce 0.5000 0.3890 0.5000
Ce 0.5000 0.6110 0.0000
Dy 0.0000 0.1227 0.5070
Dy 0.0000 0.8773 0.0070
Dy 0.5000 0.3773 0.0070
Dy 0.5000 0.6227 0.5070
Te 0.0000 0.2792 0.7557
Te 0.0000 0.7208 0.2557
Te 0.5000 0.2208 0.2557
Te 0.5000 0.7792 0.7557

No. 3
Computed, not measured: an optimized crystal structure of CeDyTe3 at the PBE-GGA level of DFT.

Output
Uncorrected formation energy: -1.372 eV/atom
E_tot: -5.365 eV per atom
Energy above the most stable polymorph in this dataset: 0.64 kJ/mol of atoms
M_tot: 1.0 μB/f.u.

Cell: 7.4405 7.4405 10.8481 Å, 90.00 90.00 146.31°
Element x y z (fractional)
Ce 0.2475 0.7525 0.7500
Ce 0.7525 0.2475 0.2500
Dy 0.0000 0.0000 0.0000
Dy 0.0000 0.0000 0.5000
Te 0.0907 0.9093 0.2500
Te 0.3539 0.6461 0.0646
Te 0.3539 0.6461 0.4354
Te 0.6461 0.3539 0.5646
Te 0.6461 0.3539 0.9354
Te 0.9093 0.0907 0.7500

No. 4
Computed, not measured: an optimized crystal structure of Ce5DyTe8 at the PBE-GGA level of DFT.

Output
Uncorrected formation energy: -1.378 eV/atom
E_tot: -5.621 eV per atom
M_tot: 7.0 μB/f.u.

Cell: 8.2225 8.2225 8.2225 Å, 109.67 109.67 109.08°
Element x y z (fractional)
Ce 0.0000 0.0000 0.0000
Ce 0.1245 0.4987 0.8742
Ce 0.5013 0.3755 0.6258
Ce 0.6245 0.2503 0.1258
Ce 0.7497 0.8755 0.3742
Dy 0.2500 0.7500 0.5000
Te 0.0299 0.2802 0.4034
Te 0.2234 0.1186 0.7469
Te 0.3717 0.4765 0.2531
Te 0.3736 0.9701 0.2503
Te 0.5235 0.7766 0.8952
Te 0.7198 0.1233 0.7497
Te 0.8767 0.6264 0.5966
Te 0.8814 0.6283 0.1048

No. 5
Computed, not measured: an optimized crystal structure of CeDy5Te6 at the PBE-GGA level of DFT.

Output
Uncorrected formation energy: -1.296 eV/atom
E_tot: -5.279 eV per atom
M_tot: 1.1 μB/f.u.

Cell: 7.5761 7.5761 7.6085 Å, 99.58 99.58 120.29°
Element x y z (fractional)
Ce 0.0000 0.0000 0.0000
Dy 0.1631 0.8369 0.5000
Dy 0.3315 0.6685 0.0000
Dy 0.5000 0.5000 0.5000
Dy 0.6685 0.3315 0.0000
Dy 0.8369 0.1631 0.5000
Te 0.0855 0.4251 0.2553
Te 0.2576 0.2576 0.7498
Te 0.4251 0.0855 0.2553
Te 0.5749 0.9145 0.7447
Te 0.7424 0.7424 0.2502
Te 0.9145 0.5749 0.7447

No. 6
Computed, not measured: an optimized crystal structure of Ce3Dy5Te8 at the PBE-GGA level of DFT.

Output
Uncorrected formation energy: -1.319 eV/atom
E_tot: -5.441 eV per atom
M_tot: 3.7 μB/f.u.

Cell: 8.8475 8.8475 8.8475 Å, 59.43 59.43 59.43°
Element x y z (fractional)
Ce 0.0000 0.5000 0.5000
Ce 0.5000 0.0000 0.5000
Ce 0.5000 0.5000 0.0000
Dy 0.0000 0.0000 0.0000
Dy 0.0000 0.0000 0.5000
Dy 0.0000 0.5000 0.0000
Dy 0.5000 0.0000 0.0000
Dy 0.5000 0.5000 0.5000
Te 0.2428 0.7499 0.7499
Te 0.2463 0.2463 0.2463
Te 0.2501 0.2501 0.7572
Te 0.2501 0.7572 0.2501
Te 0.7499 0.2428 0.7499
Te 0.7499 0.7499 0.2428
Te 0.7537 0.7537 0.7537
Te 0.7572 0.2501 0.2501

No. 7
Computed, not measured: an optimized crystal structure of CeDyTe at the PBE-GGA level of DFT.

Output
Uncorrected formation energy: -0.487 eV/atom
E_tot: -5.047 eV per atom
Energy above the most stable polymorph in this dataset: 18.47 kJ/mol of atoms
M_tot: 2.1 μB/f.u.

Cell: 5.2077 5.2077 3.8773 Å, 90.00 90.00 120.00°
Element x y z (fractional)
Ce 0.0000 0.0000 0.0000
Dy 0.6667 0.3333 0.5000
Te 0.3333 0.6667 0.5000

No. 8
Computed, not measured: an optimized crystal structure of Ce2DyTe at the PBE-GGA level of DFT.

Output
Uncorrected formation energy: -0.521 eV/atom
E_tot: -5.424 eV per atom
Energy above the most stable polymorph in this dataset: 0.64 kJ/mol of atoms
M_tot: 1.1 μB/f.u.

Cell: 4.5630 4.5630 5.0672 Å, 90.00 90.00 90.00°
Element x y z (fractional)
Ce 0.0000 0.5000 0.0000
Ce 0.5000 0.0000 0.0000
Dy 0.0000 0.0000 0.5000
Te 0.5000 0.5000 0.5000

No. 9
Computed, not measured: an optimized crystal structure of CeDy3Te4 at the PBE-GGA level of DFT.

Output
Uncorrected formation energy: -1.304 eV/atom
E_tot: -5.343 eV per atom
M_tot: 1.2 μB/f.u.

Cell: 8.8729 12.4032 4.3393 Å, 90.00 90.00 90.00°
Element x y z (fractional)
Ce 0.0000 0.0000 0.0000
Ce 0.5000 0.5000 0.0000
Dy 0.0000 0.5000 0.0000
Dy 0.2500 0.2500 0.5000
Dy 0.2500 0.7500 0.5000
Dy 0.5000 0.0000 0.0000
Dy 0.7500 0.2500 0.5000
Dy 0.7500 0.7500 0.5000
Te 0.0000 0.2535 0.0000
Te 0.0000 0.7465 0.0000
Te 0.2426 0.5000 0.5000
Te 0.2574 0.0000 0.5000
Te 0.5000 0.2465 0.0000
Te 0.5000 0.7535 0.0000
Te 0.7426 0.0000 0.5000
Te 0.7574 0.5000 0.5000

No. 10
Computed, not measured: an optimized crystal structure of Ce5DyTe6 at the PBE-GGA level of DFT.

Output
Uncorrected formation energy: -1.354 eV/atom
E_tot: -5.780 eV per atom
M_tot: 5.7 μB/f.u.

Cell: 7.7511 7.7511 7.7180 Å, 99.65 99.65 120.10°
Element x y z (fractional)
Ce 0.0000 0.0000 0.0000
Ce 0.1653 0.8347 0.5000
Ce 0.3290 0.6710 0.0000
Ce 0.6710 0.3290 0.0000
Ce 0.8347 0.1653 0.5000
Dy 0.5000 0.5000 0.5000
Te 0.0922 0.4192 0.2557
Te 0.2575 0.2575 0.7500
Te 0.4192 0.0922 0.2557
Te 0.5808 0.9078 0.7443
Te 0.7425 0.7425 0.2500
Te 0.9078 0.5808 0.7443

No. 11
Computed, not measured: an optimized crystal structure of Ce2Dy2Te5 at the PBE-GGA level of DFT.

Output
Uncorrected formation energy: -1.293 eV/atom
E_tot: -5.380 eV per atom
M_tot: 3.2 μB/f.u.

Cell: 8.9739 8.9739 8.3038 Å, 90.00 90.00 55.28°
Element x y z (fractional)
Ce 0.1966 0.1966 0.0000
Ce 0.3034 0.3034 0.5000
Ce 0.6966 0.6966 0.5000
Ce 0.8034 0.8034 0.0000
Dy 0.1461 0.8539 0.6490
Dy 0.3539 0.6461 0.1490
Dy 0.6461 0.3539 0.8510
Dy 0.8539 0.1461 0.3510
Te 0.0000 0.0000 0.0000
Te 0.0233 0.7065 0.3454
Te 0.2065 0.5233 0.8454
Te 0.2935 0.9767 0.3454
Te 0.4767 0.7935 0.8454
Te 0.5000 0.5000 0.5000
Te 0.5233 0.2065 0.1546
Te 0.7065 0.0233 0.6546
Te 0.7935 0.4767 0.1546
Te 0.9767 0.2935 0.6546

No. 12
Computed, not measured: an optimized crystal structure of Ce2Dy3Te6 at the PBE-GGA level of DFT.

Output
Uncorrected formation energy: -1.391 eV/atom
E_tot: -5.439 eV per atom
M_tot: 2.5 μB/f.u.

Cell: 7.5787 7.5787 7.6812 Å, 99.55 99.55 119.96°
Element x y z (fractional)
Ce 0.1650 0.8350 0.0000
Ce 0.8350 0.1650 0.0000
Dy 0.0000 0.0000 0.5000
Dy 0.3301 0.6699 0.5000
Dy 0.6699 0.3301 0.5000
Te 0.0931 0.4162 0.7468
Te 0.2621 0.2621 0.2563
Te 0.4162 0.0931 0.7468
Te 0.5838 0.9069 0.2532
Te 0.7379 0.7379 0.7437
Te 0.9069 0.5838 0.2532